(1)
! FeReRu2 | Alexandria | PBE | relaxed; values from VASP
&SYSTEM
  ibrav = 0, nat = 4, ntyp = 3
/
ATOMIC_SPECIES
Fe 55.84 Fe.upf
Re 186.21 Re.upf
Ru 101.07 Ru.upf
CELL_PARAMETERS angstrom
2.704 0.000 0.000
0.000 2.704 0.000
0.000 0.000 7.469
ATOMIC_POSITIONS crystal
Fe 0.000 0.000 0.000
Re 0.000 0.000 0.500
Ru 0.500 0.500 0.241
Ru 0.500 0.500 0.759
! ΔH_f (0 K) in eV per atom: 0.100



(2)
! ScTeCl2 | Alexandria | PBE | relaxed; values from VASP
&SYSTEM
  ibrav = 0, nat = 4, ntyp = 3
/
ATOMIC_SPECIES
Sc 44.96 Sc.upf
Te 127.60 Te.upf
Cl 35.45 Cl.upf
CELL_PARAMETERS angstrom
4.420 0.000 0.000
0.000 4.420 0.000
0.000 0.000 4.730
ATOMIC_POSITIONS crystal
Sc 0.000 0.000 0.000
Te 0.500 0.500 0.000
Cl 0.000 0.500 0.500
Cl 0.500 0.000 0.500
! Energy above the most stable polymorph in this dataset in kcal/mol of atoms: 20.560
! ΔE_f (raw) in meV/atom: -618